# Li4NdV3O12 GGA+U relaxed
data_Li4NdV3O12
_cell_length_a 7.415
_cell_length_b 7.415
_cell_length_c 7.415
_cell_angle_alpha 90.00
_cell_angle_beta 90.00
_cell_angle_gamma 90.00
_symmetry_space_group_name_H-M 'I m -3'
_symmetry_Int_Tables_number 204
_symmetry_space_group_name_Hall '-I 2 2 3'
loop_
_atom_site_label
_atom_site_type_symbol
_atom_site_fract_x
_atom_site_fract_y
_atom_site_fract_z
Li1 Li 0.250 0.250 0.250
Nd1 Nd 0.000 0.000 0.000
V1 V 0.000 0.000 0.500
O1 O 0.000 0.321 0.166
# raw total energy	-0.4664	Ry/atom